Record 1
A plane-wave DFT calculation with PBE-GGA was carried out for a relaxed structure of FeSiC3. Values from VASP.

Computed properties:
- magnetization (μB per formula unit) = 0.000
- E above lowest polymorph (eV/f.u.) = 0.45
- E_form (uncorrected) (meV per atom) = 649
- space group = Cm, No. 8
- DOS at the Fermi energy (states/eV per cell) = 3.159

Structure (Quantum ESPRESSO input):
```
&SYSTEM
  ibrav = 0, nat = 10, ntyp = 3
/
ATOMIC_SPECIES
Fe 55.84 Fe.upf
C 12.01 C.upf
Si 28.09 Si.upf
CELL_PARAMETERS angstrom
3.3962 0.0000 -0.0062
0.0000 2.9975 0.0000
-0.1309 0.0000 8.7798
ATOMIC_POSITIONS angstrom
Fe 3.2048 0.0000 0.7015
Fe 3.1394 1.4987 5.0914
C 0.9344 1.4987 0.9825
C 2.1139 1.4987 1.7871
C 0.5021 1.4987 8.3290
C 2.0485 0.0000 6.1770
C 0.5676 0.0000 3.9392
C 0.8689 0.0000 5.3723
Si 2.2657 0.0000 2.9884
Si 2.2003 1.4987 7.3783
```



Record 2
A plane-wave DFT calculation with PBE-GGA was carried out for a relaxed structure of FeSiC. Values from VASP.

Computed properties:
- magnetization (μB per formula unit) = 0.853
- E above lowest polymorph (eV/f.u.) = 0.35
- E_form (uncorrected) (meV per atom) = 346
- space group = Amm2, No. 38
- DOS at the Fermi energy (states/eV per cell) = 3.878

Structure (Quantum ESPRESSO input):
```
&SYSTEM
  ibrav = 0, nat = 6, ntyp = 3
/
ATOMIC_SPECIES
C 12.01 C.upf
Fe 55.84 Fe.upf
Si 28.09 Si.upf
CELL_PARAMETERS angstrom
2.9114 0.0000 0.0000
0.0000 2.7621 0.0000
0.0000 0.0000 6.9203
ATOMIC_POSITIONS angstrom
C 1.4557 0.0000 2.4997
C 1.4557 1.3810 5.9598
Fe 1.4557 1.3810 3.9573
Fe 1.4557 0.0000 0.4972
Si 0.0000 1.3810 1.9651
Si 0.0000 0.0000 5.4253
```



Let's list ρ in order: 4.5 5.7 g cm⁻³.